This record from the Alexandria database describes KSnGe2 after structural relaxation. The functional is GGA-PBE.

```
4
Lattice="2.399 1.385 6.086 -2.399 1.385 6.086 0.000 -2.770 6.086" Properties=species:S:1:pos:R:3 pbc="T T T"
K 0.000 0.000 0.000
Sn 0.000 0.000 9.129
Ge 0.000 0.000 3.818
Ge 0.000 0.000 14.439
```

**Total magnetic moment**: 0.000 μB per atom
**ΔH_f (0 K)**: 0.10 eV/atom
**Density of states at the Fermi level**: 2.99 states/eV/cell
**ρ**: 4.15 g/cm³
**Space-group type**: R-3m (166)
**Volume**: 30.34 A^3/atom